Density functional theory data (GGA-PBE) for an optimized crystal structure of NaPmSiHg.

Results
raw formation energy = -0.2811 eV/atom
N(E_F) = 0.45 states/eV per atom
total energy = -3.23 eV per atom

The structure in extended XYZ format:
```
16
Lattice="7.276 0.000 0.000 0.000 7.276 0.000 0.000 0.000 7.276" Properties=species:S:1:pos:R:3 pbc="T T T"
Na 0.000 0.000 0.000
Na 0.000 3.638 3.638
Na 3.638 0.000 3.638
Na 3.638 3.638 0.000
Pm 0.000 0.000 3.638
Pm 0.000 3.638 0.000
Pm 3.638 0.000 0.000
Pm 3.638 3.638 3.638
Si 1.819 1.819 1.819
Si 1.819 5.457 5.457
Si 5.457 1.819 5.457
Si 5.457 5.457 1.819
Hg 1.819 1.819 5.457
Hg 1.819 5.457 1.819
Hg 5.457 1.819 1.819
Hg 5.457 5.457 5.457
```